[1]
12
Lattice="3.5972 0.0000 0.0000 -1.7986 3.1153 0.0000 0.0000 0.0000 34.7135" Properties=species:S:1:pos:R:3 comment="LaSmTm2, optimized geometry, DFT GGA-PBE" e_above_lowest_polymorph_mev_per_atom=0 total_energy_ev_per_cell=-55.54 formation_energy_ev_per_fu=0.1 pbc="T T T"
La 0.0000 0.0000 0.0000
La 0.0000 2.0769 23.1423
La 1.7986 1.0384 11.5711
Sm 0.0000 0.0000 17.3567
Sm 0.0000 2.0769 5.7856
Sm 1.7986 1.0384 28.9279
Tm 0.0000 0.0000 8.6403
Tm 0.0000 0.0000 26.0731
Tm 0.0000 2.0769 14.5020
Tm 0.0000 2.0769 31.7826
Tm 1.7986 1.0384 2.9308
Tm 1.7986 1.0384 20.2115



[2]
15
Lattice="4.5119 2.6050 7.1040 -4.5119 2.6050 7.1040 0.0000 -5.2099 7.1040" Properties=species:S:1:pos:R:3 comment="La6SmTm8, optimized geometry, DFT GGA-PBE" total_energy_ev_per_cell=-68.26 formation_energy_ev_per_fu=1.8 pbc="T T T"
La -3.1562 -1.0762 9.6462
La -0.6461 -3.2715 11.6657
La -2.5101 2.1953 11.6657
La 2.5101 -2.1953 9.6462
La 0.6461 3.2715 9.6462
La 3.1562 1.0762 11.6657
Sm 0.0000 0.0000 10.6560
Tm 0.0000 0.0000 1.6305
Tm -0.3039 -1.9807 7.6902
Tm -1.5634 1.2536 7.6902
Tm -1.8673 -0.7272 13.6217
Tm 1.8673 0.7272 7.6902
Tm 1.5634 -1.2536 13.6217
Tm 0.3039 1.9807 13.6217
Tm 0.0000 0.0000 19.6815



[3]
11
Lattice="6.5000 -5.7698 0.0000 6.5000 5.7698 0.0000 -2.8193 0.0000 5.3619" Properties=species:S:1:pos:R:3 comment="La7Sm3Tm, optimized geometry, DFT GGA-PBE" total_energy_ev_per_cell=-50.78 formation_energy_ev_per_fu=2.3 pbc="T T T"
La 0.0000 0.0000 0.0000
La 3.1115 2.4250 1.6363
La 1.5272 0.0000 4.2193
La 7.0692 2.4250 3.7256
La 3.1115 -2.4250 1.6363
La 8.6535 0.0000 1.1426
La 7.0692 -2.4250 3.7256
Sm 6.5000 2.3828 0.0000
Sm 5.0903 0.0000 2.6809
Sm 6.5000 -2.3828 0.0000
Tm -1.4097 0.0000 2.6809



[4]
6
Lattice="0.0000 4.7224 4.7224 4.7224 0.0000 4.7224 4.7224 4.7224 0.0000" Properties=species:S:1:pos:R:3 comment="LaSm4Tm, optimized geometry, DFT GGA-PBE" e_above_lowest_polymorph_mev_per_atom=232 total_energy_ev_per_cell=-26.75 formation_energy_ev_per_fu=1.5 pbc="T T T"
La 0.0000 0.0000 0.0000
Sm 3.5499 3.5499 3.5499
Sm 5.8949 5.8949 3.5499
Sm 5.8949 3.5499 5.8949
Sm 3.5499 5.8949 5.8949
Tm 7.0837 7.0837 7.0837



[5]
9
Lattice="9.3828 -1.8108 0.0000 9.3828 1.8108 0.0000 -0.0756 0.0000 8.8363" Properties=species:S:1:pos:R:3 comment="LaSm6Tm2, optimized geometry, DFT GGA-PBE" e_above_lowest_polymorph_mev_per_atom=0 total_energy_ev_per_cell=-42.00 formation_energy_ev_per_fu=0.2 pbc="T T T"
La 0.0000 0.0000 0.0000
Sm 2.0099 0.0000 5.8638
Sm 4.1207 0.0000 2.9682
Sm 6.2393 0.0000 0.0111
Sm 12.4507 0.0000 8.8252
Sm 14.5692 0.0000 5.8681
Sm 16.6800 0.0000 2.9725
Tm 8.2891 0.0000 5.8665
Tm 10.4008 0.0000 2.9698



[6]
12
Lattice="8.2260 -4.8951 0.0000 8.2260 4.8951 0.0000 -1.6426 0.0000 4.9426" Properties=species:S:1:pos:R:3 comment="La5SmTm6, optimized geometry, DFT GGA-PBE" total_energy_ev_per_cell=-55.86 formation_energy_ev_per_fu=0.3 pbc="T T T"
La 0.0000 0.0000 0.0000
La 1.6547 0.0000 3.2979
La 4.9603 0.0000 1.6542
La 9.8490 0.0000 3.2884
La 13.1546 0.0000 1.6447
Sm 8.2260 0.0000 0.0000
Tm 4.1257 2.4425 4.1226
Tm 7.4047 2.4405 2.4713
Tm 10.6836 2.4425 0.8200
Tm 4.1257 -2.4425 4.1226
Tm 7.4047 -2.4405 2.4713
Tm 10.6836 -2.4425 0.8200



[7]
20
Lattice="5.1977 0.0000 0.0000 0.0000 5.1977 0.0000 0.0000 0.0000 25.9903" Properties=species:S:1:pos:R:3 comment="La15SmTm4, optimized geometry, DFT GGA-PBE" total_energy_ev_per_cell=-96.37 formation_energy_ev_per_fu=0.1 pbc="T T T"
La 0.0000 0.0000 0.0000
La 0.0000 0.0000 5.2187
La 0.0000 0.0000 10.4005
La 0.0000 0.0000 15.5897
La 0.0000 0.0000 20.7716
La 0.0000 2.5989 2.6294
La 0.0000 2.5989 7.8132
La 0.0000 2.5989 12.9951
La 0.0000 2.5989 18.1770
La 0.0000 2.5989 23.3609
La 2.5989 0.0000 2.6294
La 2.5989 0.0000 7.8132
La 2.5989 0.0000 12.9951
La 2.5989 0.0000 18.1770
La 2.5989 0.0000 23.3609
Sm 2.5989 2.5989 0.0000
Tm 2.5989 2.5989 5.2240
Tm 2.5989 2.5989 10.4001
Tm 2.5989 2.5989 15.5901
Tm 2.5989 2.5989 20.7663



[8]
10
Lattice="3.7129 0.0000 0.0000 0.0000 3.7129 0.0000 0.0000 0.0000 25.4630" Properties=species:S:1:pos:R:3 comment="La5Sm4Tm, optimized geometry, DFT GGA-PBE" e_above_lowest_polymorph_mev_per_atom=0 total_energy_ev_per_cell=-47.78 formation_energy_ev_per_fu=0.2 pbc="T T T"
La 0.0000 0.0000 0.0000
La 0.0000 0.0000 5.1468
La 0.0000 0.0000 10.2719
La 0.0000 0.0000 15.1911
La 0.0000 0.0000 20.3162
Sm 1.8564 1.8564 2.5755
Sm 1.8564 1.8564 7.7236
Sm 1.8564 1.8564 17.7394
Sm 1.8564 1.8564 22.8875
Tm 1.8564 1.8564 12.7315



[9]
10
Lattice="3.3613 -14.6767 0.0000 3.3613 14.6767 0.0000 0.0000 0.0000 3.5028" Properties=species:S:1:pos:R:3 comment="La2Sm7Tm, optimized geometry, DFT GGA-PBE" e_above_lowest_polymorph_mev_per_atom=128 total_energy_ev_per_cell=-45.88 formation_energy_ev_per_fu=1.5 pbc="T T T"
La 3.3613 8.6788 0.0000
La 3.3613 -8.6788 0.0000
Sm 0.0000 0.0000 0.0000
Sm 1.7271 2.8458 0.0000
Sm 3.3613 5.4633 1.7514
Sm 1.7271 -2.8458 0.0000
Sm 4.9956 2.8458 0.0000
Sm 3.3613 -5.4633 1.7514
Sm 4.9956 -2.8458 0.0000
Tm 3.3613 0.0000 1.7514



[10]
15
Lattice="4.5076 2.6025 6.9249 -4.5076 2.6025 6.9249 0.0000 -5.2050 6.9249" Properties=species:S:1:pos:R:3 comment="LaSm6Tm8, optimized geometry, DFT GGA-PBE" total_energy_ev_per_cell=-67.00 formation_energy_ev_per_fu=2.0 pbc="T T T"
La 0.0000 0.0000 0.0000
Sm -0.5524 -1.9246 6.0160
Sm -1.3906 1.4407 6.0160
Sm -1.9429 -0.4839 14.7585
Sm 1.9429 0.4839 6.0160
Sm 1.3906 -1.4407 14.7585
Sm 0.5524 1.9246 14.7585
Tm -2.8603 -1.4956 10.9037
Tm -0.1349 -3.2249 9.8709
Tm -2.7254 1.7293 9.8709
Tm 0.0000 0.0000 8.7960
Tm 0.0000 0.0000 11.9786
Tm 2.7254 -1.7293 10.9037
Tm 0.1349 3.2249 10.9037
Tm 2.8603 1.4956 9.8709



[11]
26
Lattice="11.7223 0.0000 0.0000 0.0000 20.4387 0.0000 0.0000 0.0000 3.5856" Properties=species:S:1:pos:R:3 comment="La2Sm5Tm6, optimized geometry, DFT GGA-PBE" total_energy_ev_per_cell=-117.99 formation_energy_ev_per_fu=1.3 pbc="T T T"
La 2.0004 4.5608 0.0000
La 3.8608 14.7802 0.0000
La 7.8615 5.6586 0.0000
La 9.7219 15.8779 0.0000
Sm 0.0000 10.2194 1.7928
Sm 1.0554 16.0122 1.7928
Sm 2.3571 1.1054 1.7928
Sm 3.5040 11.3248 1.7928
Sm 4.8057 5.7928 1.7928
Sm 5.8611 0.0000 1.7928
Sm 6.9166 14.6459 1.7928
Sm 8.2183 9.1140 1.7928
Sm 9.3651 19.3334 1.7928
Sm 10.6669 4.4265 1.7928
Tm 0.7249 18.9237 0.0000
Tm 0.8467 13.0484 0.0000
Tm 2.1556 7.7184 1.7928
Tm 3.7055 17.9378 1.7928
Tm 5.0145 2.8290 0.0000
Tm 5.1363 8.7043 0.0000
Tm 6.5860 11.7345 0.0000
Tm 6.7078 17.6097 0.0000
Tm 8.0168 2.5010 1.7928
Tm 9.5667 12.7203 1.7928
Tm 10.8756 7.3903 0.0000
Tm 10.9974 1.5151 0.0000



[12]
22
Lattice="7.0607 0.0000 0.0000 0.0000 11.4201 0.0000 -3.4270 0.0000 9.7208" Properties=species:S:1:pos:R:3 comment="La7SmTm3, optimized geometry, DFT GGA-PBE" e_above_lowest_polymorph_mev_per_atom=0 total_energy_ev_per_cell=-102.86 formation_energy_ev_per_fu=1.2 pbc="T T T"
La -0.0027 0.2153 1.6335
La -0.0027 5.4947 1.6335
La -0.1049 8.5651 3.0645
La 0.0587 2.8550 3.9382
La 0.0105 8.5651 6.5889
La 0.0609 0.5623 7.9631
La 0.0609 5.1477 7.9631
La 3.5727 6.2724 1.7577
La 3.5727 10.8578 1.7577
La 3.6232 2.8550 3.1319
La 3.5750 8.5651 5.7826
La 3.7385 2.8550 6.6563
La 3.6363 5.9254 8.0873
La 3.6363 11.2047 8.0873
Sm 1.8168 0.0000 4.8604
Sm 1.8168 5.7100 4.8604
Tm -1.7135 0.0000 4.8604
Tm -1.7135 5.7100 4.8604
Tm -1.7286 8.5651 9.5727
Tm 1.7622 2.8550 0.2691
Tm 1.8715 8.5651 9.4517
Tm 5.3623 2.8550 0.1481



[13]
19
Lattice="7.5264 4.3454 3.5034 -7.5264 4.3454 3.5034 0.0000 -8.6908 3.5034" Properties=species:S:1:pos:R:3 comment="La12Sm6Tm, optimized geometry, DFT GGA-PBE" total_energy_ev_per_cell=-88.03 formation_energy_ev_per_fu=3.9 pbc="T T T"
La -5.2566 1.5747 4.2598
La -3.9921 -3.7650 6.2505
La -2.9358 -0.8460 4.4251
La 1.2645 -5.3397 4.2598
La -0.7352 -2.9654 6.0852
La 2.2005 -2.1194 4.4251
La -2.2005 2.1195 6.0852
La 0.7352 2.9654 4.4251
La -1.2645 5.3397 6.2505
La 2.9358 0.8460 6.0852
La 3.9921 3.7650 4.2598
La 5.2566 -1.5747 6.2505
Sm -0.7874 -2.5895 2.5284
Sm -1.8489 1.9767 2.5284
Sm 2.6363 0.6128 2.5283
Sm -2.6363 -0.6128 7.9819
Sm 1.8489 -1.9767 7.9819
Sm 0.7874 2.5895 7.9819
Tm 0.0000 0.0000 0.0000



[14]
16
Lattice="5.0201 0.0000 0.0000 0.0000 5.0201 0.0000 0.0000 0.0000 20.0954" Properties=species:S:1:pos:R:3 comment="La3SmTm12, optimized geometry, DFT GGA-PBE" total_energy_ev_per_cell=-72.54 formation_energy_ev_per_fu=0.6 pbc="T T T"
La 0.0000 0.0000 0.0000
La 0.0000 0.0000 5.0250
La 0.0000 0.0000 15.0704
Sm 0.0000 0.0000 10.0477
Tm 0.0000 2.5100 2.5228
Tm 0.0000 2.5100 7.5848
Tm 0.0000 2.5100 12.5106
Tm 0.0000 2.5100 17.5726
Tm 2.5100 0.0000 2.5228
Tm 2.5100 0.0000 7.5848
Tm 2.5100 0.0000 12.5106
Tm 2.5100 0.0000 17.5726
Tm 2.5100 2.5100 0.0000
Tm 2.5100 2.5100 5.0540
Tm 2.5100 2.5100 10.0477
Tm 2.5100 2.5100 15.0414



[15]
19
Lattice="9.7608 -3.8242 0.0000 9.7608 3.8242 0.0000 -4.5451 0.0000 9.0870" Properties=species:S:1:pos:R:3 comment="La12Sm5Tm2, optimized geometry, DFT GGA-PBE" e_above_lowest_polymorph_mev_per_atom=40 total_energy_ev_per_cell=-88.80 formation_energy_ev_per_fu=2.9 pbc="T T T"
La -0.8960 0.0000 1.9109
La 4.2302 2.0412 4.5663
La 5.9503 1.9213 1.3970
La 10.7464 2.0412 4.5207
La 9.0262 1.9213 7.6900
La 6.5085 0.0000 6.0322
La 8.4680 0.0000 3.0548
La 5.9503 -1.9213 1.3970
La 4.2302 -2.0412 4.5663
La 9.0262 -1.9213 7.6900
La 10.7464 -2.0412 4.5207
La 15.8725 0.0000 7.1761
Sm -2.2725 0.0000 4.5435
Sm 2.6213 0.0000 1.4974
Sm 2.6588 0.0000 7.3344
Sm 12.3177 0.0000 1.7526
Sm 12.3552 0.0000 7.5896
Tm 9.7608 1.5235 0.0000
Tm 9.7608 -1.5235 0.0000



[16]
20
Lattice="5.2243 0.0000 0.0000 0.0000 5.2243 0.0000 0.0000 0.0000 26.1889" Properties=species:S:1:pos:R:3 comment="La15Sm4Tm, optimized geometry, DFT GGA-PBE" total_energy_ev_per_cell=-97.05 formation_energy_ev_per_fu=0.2 pbc="T T T"
La 0.0000 0.0000 0.0000
La 0.0000 0.0000 5.2189
La 0.0000 0.0000 10.4712
La 0.0000 0.0000 15.7177
La 0.0000 0.0000 20.9700
La 0.0000 2.6122 2.5878
La 0.0000 2.6122 7.8371
La 0.0000 2.6122 13.0944
La 0.0000 2.6122 18.3518
La 0.0000 2.6122 23.6011
La 2.6122 0.0000 2.5878
La 2.6122 0.0000 7.8371
La 2.6122 0.0000 13.0944
La 2.6122 0.0000 18.3518
La 2.6122 0.0000 23.6011
Sm 2.6122 2.6122 5.2105
Sm 2.6122 2.6122 10.4682
Sm 2.6122 2.6122 15.7207
Sm 2.6122 2.6122 20.9784
Tm 2.6122 2.6122 0.0000



[17]
6
Lattice="6.2569 0.0000 0.0000 3.1277 5.4250 0.0000 2.1324 0.0028 5.9447" Properties=species:S:1:pos:R:3 comment="LaSmTm, optimized geometry, DFT GGA-PBE" e_above_lowest_polymorph_mev_per_atom=0 total_energy_ev_per_cell=-28.06 formation_energy_ev_per_fu=0.1 pbc="T T T"
La 2.0911 1.8155 1.4861
La 9.4260 3.6124 4.4587
Sm 6.2971 5.4084 4.4597
Sm 5.2200 0.0194 1.4850
Tm 5.2216 3.6061 1.4861
Tm 6.2955 1.8217 4.4586



[18]
19
Lattice="7.8232 -4.6274 0.0000 7.8232 4.6274 0.0000 -0.2806 0.0000 8.5463" Properties=species:S:1:pos:R:3 comment="La2Sm5Tm12, optimized geometry, DFT GGA-PBE" e_above_lowest_polymorph_mev_per_atom=49 total_energy_ev_per_cell=-84.53 formation_energy_ev_per_fu=2.6 pbc="T T T"
La 7.8232 2.9209 0.0000
La 7.8232 -2.9209 0.0000
Sm 3.1495 0.0000 0.0927
Sm 4.0760 0.0000 3.6312
Sm 7.6829 0.0000 4.2731
Sm 11.2897 0.0000 4.9150
Sm 12.2163 0.0000 8.4536
Tm 0.7971 0.0000 2.8263
Tm 5.7313 2.8771 2.9584
Tm 5.2127 1.6512 6.4442
Tm 9.6344 2.8771 5.5879
Tm 6.4258 0.0000 1.0244
Tm 10.1531 1.6512 2.1021
Tm 5.2127 -1.6512 6.4442
Tm 8.9400 0.0000 7.5219
Tm 5.7313 -2.8771 2.9584
Tm 10.1531 -1.6512 2.1021
Tm 9.6344 -2.8771 5.5879
Tm 14.5686 0.0000 5.7200



[19]
12
Lattice="5.1992 0.0000 0.0000 0.0000 5.1992 0.0000 0.0000 0.0000 15.6159" Properties=species:S:1:pos:R:3 comment="La9SmTm2, optimized geometry, DFT GGA-PBE" total_energy_ev_per_cell=-57.92 formation_energy_ev_per_fu=0.1 pbc="T T T"
La 0.0000 0.0000 0.0000
La 0.0000 0.0000 5.2166
La 0.0000 0.0000 10.3994
La 0.0000 2.5996 2.6275
La 0.0000 2.5996 7.8080
La 0.0000 2.5996 12.9885
La 2.5996 0.0000 2.6275
La 2.5996 0.0000 7.8080
La 2.5996 0.0000 12.9885
Sm 2.5996 2.5996 0.0000
Tm 2.5996 2.5996 5.2218
Tm 2.5996 2.5996 10.3941